# CaCe4Sm3Te8

CaCe4Sm3Te8 after structural relaxation (PBE, the Alexandria database).

Results
Total DFT energy (no corrections) ... -5.465 eV per atom
Total moment ... 5.05 μB per formula unit
Space group ... R-3m

Cell lengths 8.995, 8.995, 8.995 Å; angles 59.38, 59.38, 59.38 degrees
Sites, in units of the cell vectors:
Ca  0.000  0.000  0.000
Ce  0.000  0.000  0.500
Ce  0.000  0.500  0.000
Ce  0.500  0.000  0.000
Ce  0.500  0.500  0.500
Sm  0.000  0.500  0.500
Sm  0.500  0.000  0.500
Sm  0.500  0.500  0.000
Te  0.247  0.247  0.750
Te  0.247  0.750  0.247
Te  0.250  0.753  0.753
Te  0.251  0.251  0.251
Te  0.749  0.749  0.749
Te  0.750  0.247  0.247
Te  0.753  0.250  0.753
Te  0.753  0.753  0.250

=====

# GaCuSnC2

GaCuSnC2 after structural relaxation (PBE, the Alexandria database).

Results
E_form ... 1.835 eV per atom
Total DFT energy (no corrections) ... -4.080 eV per atom
Total moment ... 0.00 μB per formula unit
Space group ... P4/mmm

Cell lengths 3.973, 3.973, 4.940 Å; angles 90.00, 90.00, 90.00 degrees
Sites, in units of the cell vectors:
Ga  0.000  0.000  0.000
Cu  0.000  0.000  0.500
Sn  0.500  0.500  0.500
C  0.000  0.500  0.000
C  0.500  0.000  0.000

=====

# Co3Ni8Ir

Co3Ni8Ir after structural relaxation (PBE, the Alexandria database).

Results
E_form ... 0.132 eV per atom
Total DFT energy (no corrections) ... -6.237 eV per atom
Total moment ... 11.16 μB per formula unit
Space group ... P6_3mc

Cell lengths 8.042, 8.042, 4.932 Å; angles 90.00, 90.00, 120.00 degrees
Sites, in units of the cell vectors:
Co  0.175  0.349  0.000
Co  0.175  0.825  0.000
Co  0.349  0.175  0.500
Co  0.651  0.825  0.000
Co  0.825  0.175  0.500
Co  0.825  0.651  0.500
Ni  0.000  0.000  0.256
Ni  0.000  0.000  0.756
Ni  0.010  0.505  0.686
Ni  0.163  0.326  0.497
Ni  0.163  0.837  0.497
Ni  0.326  0.163  0.997
Ni  0.333  0.667  0.809
Ni  0.495  0.505  0.686
Ni  0.495  0.990  0.686
Ni  0.505  0.010  0.186
Ni  0.505  0.495  0.186
Ni  0.667  0.333  0.309
Ni  0.674  0.837  0.497
Ni  0.837  0.163  0.997
Ni  0.837  0.674  0.997
Ni  0.990  0.495  0.186
Ir  0.333  0.667  0.311
Ir  0.667  0.333  0.811

=====

# Y2Si3Ni12Pt

Y2Si3Ni12Pt after structural relaxation (PBE, the Alexandria database).

Results
Total DFT energy (no corrections) ... -5.905 eV per atom
Total moment ... 0.00 μB per formula unit
Space group ... R-3m

Cell lengths 6.293, 6.293, 6.293 Å; angles 85.59, 85.59, 85.59 degrees
Sites, in units of the cell vectors:
Y  0.183  0.183  0.183
Y  0.817  0.817  0.817
Si  0.000  0.500  0.500
Si  0.500  0.000  0.500
Si  0.500  0.500  0.000
Ni  0.106  0.106  0.613
Ni  0.106  0.613  0.106
Ni  0.196  0.692  0.692
Ni  0.308  0.308  0.804
Ni  0.308  0.804  0.308
Ni  0.387  0.894  0.894
Ni  0.613  0.106  0.106
Ni  0.692  0.196  0.692
Ni  0.692  0.692  0.196
Ni  0.804  0.308  0.308
Ni  0.894  0.387  0.894
Ni  0.894  0.894  0.387
Pt  0.500  0.500  0.500

=====

# Y12Er2Sc5

Y12Er2Sc5 after structural relaxation (PBE, the Alexandria database).

Results
E_form ... 0.159 eV per atom
Total DFT energy (no corrections) ... -6.070 eV per atom
Total moment ... 0.00 μB per formula unit
Space group ... C2/m

Cell lengths 9.069, 9.069, 8.418 Å; angles 90.93, 90.93, 57.56 degrees
Sites, in units of the cell vectors:
Y  0.055  0.055  0.272
Y  0.098  0.684  0.386
Y  0.111  0.517  0.776
Y  0.316  0.902  0.614
Y  0.334  0.334  0.130
Y  0.483  0.889  0.224
Y  0.517  0.111  0.776
Y  0.666  0.666  0.870
Y  0.684  0.098  0.386
Y  0.889  0.483  0.224
Y  0.902  0.316  0.614
Y  0.945  0.945  0.728
Er  0.286  0.714  0.000
Er  0.714  0.286  0.000
Sc  0.146  0.146  0.940
Sc  0.256  0.256  0.450
Sc  0.500  0.500  0.500
Sc  0.744  0.744  0.550
Sc  0.854  0.854  0.060

=====

# TePW2

TePW2 after structural relaxation (PBE, the Alexandria database).

Results
E above lowest polymorph ... 0.3069 eV/atom
Total DFT energy (no corrections) ... -8.122 eV per atom
Total moment ... 0.00 μB per formula unit
Space group ... Cmm2

Cell lengths 3.382, 4.794, 9.467 Å; angles 90.00, 90.00, 90.00 degrees
Sites, in units of the cell vectors:
Te  0.000  0.000  0.000
Te  0.500  0.500  0.000
P  0.000  0.500  0.662
P  0.500  0.000  0.662
W  0.000  0.000  0.472
W  0.000  0.500  0.252
W  0.500  0.000  0.252
W  0.500  0.500  0.472

=====

# SmY4Er2

SmY4Er2 after structural relaxation (PBE, the Alexandria database).

Results
E_form ... 0.169 eV per atom
E above lowest polymorph ... 0.1398 eV/atom
Total DFT energy (no corrections) ... -5.503 eV per atom
Total moment ... 0.00 μB per formula unit
Space group ... P1

Cell lengths 6.384, 8.547, 9.574 Å; angles 86.24, 70.55, 68.14 degrees
Sites, in units of the cell vectors:
Sm  0.000  0.000  0.000
Sm  0.456  0.163  0.923
Y  0.424  0.919  0.643
Y  0.429  0.347  0.628
Y  0.444  0.242  0.279
Y  0.481  0.845  0.129
Y  0.862  0.814  0.294
Y  0.891  0.419  0.150
Y  0.913  0.317  0.794
Y  0.918  0.743  0.772
Er  0.340  0.659  0.420
Er  0.356  0.582  0.960
Er  0.878  0.502  0.502
Er  0.980  0.080  0.462

=====

# La4TlI6

La4TlI6 after structural relaxation (PBE, the Alexandria database).

Results
Total DFT energy (no corrections) ... -3.880 eV per atom
Total moment ... 1.21 μB per formula unit
Space group ... P4_2/nmc

Cell lengths 10.758, 10.758, 7.815 Å; angles 90.00, 90.00, 90.00 degrees
Sites, in units of the cell vectors:
La  0.000  0.250  0.079
La  0.000  0.750  0.921
La  0.250  0.000  0.579
La  0.250  0.500  0.579
La  0.500  0.250  0.079
La  0.500  0.750  0.921
La  0.750  0.000  0.421
La  0.750  0.500  0.421
Tl  0.250  0.750  0.750
Tl  0.750  0.250  0.250
I  0.042  0.542  0.250
I  0.042  0.958  0.250
I  0.250  0.250  0.329
I  0.250  0.250  0.829
I  0.458  0.542  0.250
I  0.458  0.958  0.250
I  0.542  0.042  0.750
I  0.542  0.458  0.750
I  0.750  0.750  0.171
I  0.750  0.750  0.671
I  0.958  0.042  0.750
I  0.958  0.458  0.750